1.
Here is crystalline Nd3Hg at its relaxed geometry from Alexandria via LeMat-Bulk. Energies are from PBE-GGA.

## Properties
formation energy = -0.23 eV/atom
offset from the most stable computed form = 0.0 meV/atom

Lattice parameters (Å, degrees): 3.7557 3.7557 9.0231 90.00 90.00 90.00
Space group P4/mmm (No. 123)
Asymmetric unit:
Nd1 0.0000 0.0000 0.0000 x1
Nd2 0.5000 0.5000 0.2799 x2
Hg1 0.0000 0.0000 0.5000 x1


2.
Here is crystalline SrLi17Dy at its relaxed geometry from Alexandria via LeMat-Bulk. Energies are from PBE-GGA.

## Properties
formation energy = 0.06 eV/atom

Lattice parameters (Å, degrees): 10.0207 10.0207 14.8223 90.00 90.00 120.00
Space group R3m (No. 160, hexagonal axes)
Asymmetric unit:
Sr1 0.0000 0.0000 0.0000 x3
Li1 0.0000 0.0000 0.5520 x3
Li2 0.0000 0.0000 0.7458 x3
Li3 0.0418 0.3670 0.3177 x18
Li4 0.1705 0.3411 0.4855 x9
Li5 0.1760 0.3519 0.8366 x9
Li6 0.1768 0.3537 0.1332 x9
Dy1 0.0000 0.0000 0.3156 x3


3.
Here is crystalline KRhSe2 at its relaxed geometry from Alexandria via LeMat-Bulk. Energies are from PBE-GGA.

## Properties
formation energy from raw total energies = -0.348 eV/atom

Lattice parameters (Å, degrees): 4.1439 4.1439 7.4028 90.00 90.00 120.00
Space group P3m1 (No. 156)
Asymmetric unit:
K1 0.0000 0.0000 0.0000 x1
Rh1 0.3333 0.6667 0.4074 x1
Se1 0.3333 0.6667 0.7192 x1
Se2 0.6667 0.3333 0.3348 x1


4.
Here is crystalline TiCIO2 at its relaxed geometry from Alexandria via LeMat-Bulk. Energies are from PBE-GGA.

## Properties
formation energy from raw total energies = -0.284 eV/atom
offset from the most stable computed form = 0.0 meV/atom

Lattice parameters (Å, degrees): 3.7307 3.7307 6.2460 90.00 90.00 90.00
Space group P4/mmm (No. 123)
Asymmetric unit:
Ti1 0.0000 0.0000 0.0000 x1
C1 0.5000 0.5000 0.5000 x1
I1 0.0000 0.0000 0.5000 x1
O1 0.0000 0.5000 0.0000 x2


5.
Here is crystalline LuPaPdPt at its relaxed geometry from Alexandria via LeMat-Bulk. Energies are from PBE-GGA.

## Properties
formation energy = -0.81 eV/atom

Lattice parameters (Å, degrees): 6.9723 6.9723 6.9723 90.00 90.00 90.00
Space group F-43m (No. 216)
Asymmetric unit:
Lu1 0.0000 0.0000 0.0000 x4
Pa1 0.0000 0.0000 0.5000 x4
Pd1 0.2500 0.2500 0.7500 x4
Pt1 0.2500 0.2500 0.2500 x4


6.
Here is crystalline PmSm3Cd4 at its relaxed geometry from Alexandria via LeMat-Bulk. Energies are from PBE-GGA.

## Properties
formation energy = -0.32 eV/atom

Lattice parameters (Å, degrees): 10.7563 7.6968 5.3788 90.00 90.00 90.00
Space group Pmma (No. 51)
Asymmetric unit:
Pm1 0.0000 0.0000 0.0000 x2
Sm1 0.0000 0.5000 0.0000 x2
Sm2 0.2500 0.0000 0.4980 x2
Sm3 0.2500 0.5000 0.4981 x2
Cd1 0.0000 0.2511 0.5000 x4
Cd2 0.2500 0.2511 0.9978 x4


7.
Here is crystalline Tm8Cu2Ni at its relaxed geometry from Alexandria via LeMat-Bulk. Energies are from PBE-GGA.

## Properties
formation energy = -0.16 eV/atom
offset from the most stable computed form = 0.0 meV/atom

Lattice parameters (Å, degrees): 16.9429 5.0000 6.5564 90.00 106.53 90.00
Space group C2/m (No. 12)
Asymmetric unit:
Tm1 0.0317 0.0000 0.2885 x4
Tm2 0.0905 0.5000 0.9414 x4
Tm3 0.1651 0.5000 0.4749 x4
Tm4 0.2012 0.0000 0.8233 x4
Cu1 0.1854 0.0000 0.2243 x4
Ni1 0.0000 0.5000 0.5000 x2


8.
Here is crystalline Tl2InMo at its relaxed geometry from Alexandria via LeMat-Bulk. Energies are from PBE-GGA.

## Properties
formation energy = 0.70 eV/atom
offset from the most stable computed form = 253.0 meV/atom

Lattice parameters (Å, degrees): 6.1742 8.8388 3.3277 90.00 90.00 90.00
Space group Cmmm (No. 65)
Asymmetric unit:
Tl1 0.2500 0.2500 0.0000 x4
In1 0.0000 0.0000 0.5000 x2
Mo1 0.0000 0.5000 0.5000 x2


9.
Here is crystalline MnCdBi2Te at its relaxed geometry from Alexandria via LeMat-Bulk. Energies are from PBE-GGA.

## Properties
formation energy from raw total energies = 0.341 eV/atom

Lattice parameters (Å, degrees): 5.2140 5.2140 5.2548 90.00 90.00 90.00
Space group P4/mmm (No. 123)
Asymmetric unit:
Mn1 0.0000 0.0000 0.0000 x1
Cd1 0.0000 0.0000 0.5000 x1
Bi1 0.0000 0.5000 0.0000 x2
Te1 0.5000 0.5000 0.5000 x1


10.
Here is crystalline ZrPd2Au2 at its relaxed geometry from Alexandria via LeMat-Bulk. Energies are from PBE-GGA.

## Properties
formation energy = -0.25 eV/atom
offset from the most stable computed form = 324.2 meV/atom

Lattice parameters (Å, degrees): 7.4982 7.4982 3.2421 90.00 90.00 90.00
Space group P4/mbm (No. 127)
Asymmetric unit:
Zr1 0.0000 0.0000 0.0000 x2
Pd1 0.1650 0.3350 0.5000 x4
Au1 0.1331 0.6331 0.0000 x4


11.
Here is crystalline Sr2In9Pt3 at its relaxed geometry from Alexandria via LeMat-Bulk. Energies are from PBE-GGA.

## Properties
formation energy = -0.48 eV/atom

Lattice parameters (Å, degrees): 14.6101 8.4007 11.6298 90.00 114.95 90.00
Space group C2/c (No. 15)
Asymmetric unit:
Sr1 0.1682 0.0835 0.2502 x8
In1 0.0000 0.3675 0.2500 x4
In2 0.0582 0.0755 0.9235 x8
In3 0.1071 0.3121 0.7489 x8
In4 0.1068 0.4128 0.0609 x8
In5 0.2278 0.4126 0.4231 x8
Pt1 0.0829 0.2494 0.5004 x8
Pt2 0.2500 0.2500 0.0000 x4


12.
Here is crystalline Sr3SmU2P6 at its relaxed geometry from Alexandria via LeMat-Bulk. Energies are from PBE-GGA.

## Properties
formation energy = -1.13 eV/atom

Lattice parameters (Å, degrees): 7.1856 12.4443 7.3366 90.00 109.07 90.00
Space group C2/m (No. 12)
Asymmetric unit:
Sr1 0.0000 0.0000 0.0000 x2
Sr2 0.0000 0.3359 0.0000 x4
Sm1 0.0000 0.5000 0.5000 x2
U1 0.0000 0.1671 0.5000 x4
P1 0.2242 0.0000 0.7143 x4
P2 0.2454 0.3263 0.7142 x8


13.
Here is crystalline Sm2TlRuO8 at its relaxed geometry from Alexandria via LeMat-Bulk. Energies are from PBE-GGA.

## Properties
formation energy from raw total energies = -1.762 eV/atom

Lattice parameters (Å, degrees): 4.7763 4.7995 7.4097 92.35 92.36 94.15
Space group P-1 (No. 2)
Asymmetric unit:
Sm1 0.0607 0.0586 0.2597 x2
Tl1 0.5000 0.5000 0.0000 x1
Ru1 0.5000 0.5000 0.5000 x1
O1 0.1930 0.1931 0.9772 x2
O2 0.2217 0.2249 0.5498 x2
O3 0.2582 0.6270 0.3068 x2
O4 0.3730 0.7438 0.6919 x2


14.
Here is crystalline K2CoAs at its relaxed geometry from Alexandria via LeMat-Bulk. Energies are from PBE-GGA.

## Properties
formation energy = 0.45 eV/atom

Lattice parameters (Å, degrees): 7.2673 7.2673 7.2673 90.00 90.00 90.00
Space group F-43m (No. 216)
Asymmetric unit:
K1 0.0000 0.0000 0.0000 x4
K2 0.2500 0.2500 0.2500 x4
Co1 0.2500 0.2500 0.7500 x4
As1 0.0000 0.0000 0.5000 x4


15.
Here is crystalline Rb8Hg2Au at its relaxed geometry from Alexandria via LeMat-Bulk. Energies are from PBE-GGA.

## Properties
formation energy = -0.13 eV/atom
offset from the most stable computed form = 0.0 meV/atom

Lattice parameters (Å, degrees): 23.4959 6.2592 8.8717 90.00 106.46 90.00
Space group C2/m (No. 12)
Asymmetric unit:
Rb1 0.0299 0.0000 0.3056 x4
Rb2 0.0895 0.5000 0.9197 x4
Rb3 0.1581 0.5000 0.4642 x4
Rb4 0.2150 0.0000 0.8167 x4
Hg1 0.1800 0.0000 0.2094 x4
Au1 0.0000 0.5000 0.5000 x2


16.
Here is crystalline Pu2GaPPt6 at its relaxed geometry from Alexandria via LeMat-Bulk. Energies are from PBE-GGA.

## Properties
formation energy = -0.69 eV/atom

Lattice parameters (Å, degrees): 5.5589 8.5332 8.2663 90.00 90.00 90.00
Space group Pmmn (No. 59, origin choice 2)
Asymmetric unit:
Pu1 0.2500 0.0116 0.2288 x4
Ga1 0.2500 0.7500 0.7800 x2
P1 0.2500 0.2500 0.7443 x2
Pt1 0.0006 0.7500 0.5138 x4
Pt2 0.0024 0.7500 0.0320 x4
Pt3 0.2500 0.0048 0.6183 x4


17.
Here is crystalline Ti3AlH at its relaxed geometry from Alexandria via LeMat-Bulk. Energies are from PBE-GGA.

## Properties
total DFT energy (no corrections) = -6.48 eV/atom

Lattice parameters (Å, degrees): 5.5695 5.2493 4.6575 90.00 90.00 90.00
Space group Pmn2_1 (No. 31)
Asymmetric unit:
Ti1 0.0000 0.1187 0.0000 x2
Ti2 0.2500 0.3491 0.4955 x4
Al1 0.0000 0.8411 0.5023 x2
H1 0.0000 0.4326 0.2065 x2


18.
Here is crystalline TmNpFe2 at its relaxed geometry from Alexandria via LeMat-Bulk. Energies are from PBE-GGA.

## Properties
formation energy = 0.03 eV/atom
offset from the most stable computed form = 0.0 meV/atom

Lattice parameters (Å, degrees): 7.6473 4.3916 8.4732 90.00 90.00 90.00
Space group Pnma (No. 62)
Asymmetric unit:
Tm1 0.0909 0.2500 0.1398 x4
Np1 0.0192 0.7500 0.4195 x4
Fe1 0.2268 0.2500 0.8055 x4
Fe2 0.2407 0.2500 0.4717 x4


19.
Here is crystalline SrAuN2O at its relaxed geometry from Alexandria via LeMat-Bulk. Energies are from PBE-GGA.

## Properties
formation energy from raw total energies = 0.481 eV/atom

Lattice parameters (Å, degrees): 4.0539 4.0539 4.5458 90.00 90.00 90.00
Space group P4/mmm (No. 123)
Asymmetric unit:
Sr1 0.0000 0.0000 0.0000 x1
Au1 0.5000 0.5000 0.5000 x1
N1 0.0000 0.5000 0.5000 x2
O1 0.5000 0.5000 0.0000 x1


20.
Here is crystalline Ce7Si3Hg at its relaxed geometry from Alexandria via LeMat-Bulk. Energies are from PBE-GGA.

## Properties
formation energy from raw total energies = -0.316 eV/atom

Lattice parameters (Å, degrees): 5.6697 8.9705 11.2991 90.00 90.00 90.00
Space group Immm (No. 71)
Asymmetric unit:
Ce1 0.0000 0.0000 0.0000 x2
Ce2 0.0000 0.1519 0.5000 x4
Ce3 0.0000 0.3421 0.2315 x8
Si1 0.0000 0.0000 0.2637 x4
Si2 0.0000 0.5000 0.0000 x2
Hg1 0.0000 0.5000 0.5000 x2